Record 1
# Hf3Ti2Hg

A relaxed Hf3Ti2Hg crystal (PBE-GGA, Alexandria via LeMat-Bulk).

The density of states at the Fermi level comes out at 7.5 states/eV/f.u. The final energy is -7.654 eV/atom.

Unit cell a=4.398 b=13.099 c=4.210 alpha=90.00 beta=90.00 gamma=90.00
Atoms (fractional coordinates):
Hf1 0.000 0.000 0.000
Hf2 0.000 0.331 0.000
Hf3 0.000 0.669 0.000
Hf4 0.500 0.169 0.000
Hf5 0.500 0.500 0.000
Hf6 0.500 0.831 0.000
Ti1 0.000 0.172 0.500
Ti2 0.000 0.828 0.500
Ti3 0.500 0.328 0.500
Ti4 0.500 0.672 0.500
Hg1 0.000 0.500 0.500
Hg2 0.500 0.000 0.500

=====

Record 2
# Li2AgPtCl6

A relaxed Li2AgPtCl6 crystal (PBE-GGA, Alexandria via LeMat-Bulk).

The density of states at the Fermi level comes out at 0.3 states/eV/f.u. For the formation energy from raw total energies, the calculation gives -929 meV/atom.

Unit cell a=6.359 b=6.469 c=6.841 alpha=66.52 beta=64.56 gamma=62.38
Atoms (fractional coordinates):
Li1 0.000 0.000 0.000
Li2 0.465 0.449 0.559
Ag1 0.196 0.180 0.426
Pt1 0.673 0.662 0.978
Cl1 0.043 0.743 0.754
Cl2 0.292 0.608 0.213
Cl3 0.392 0.067 0.736
Cl4 0.622 0.874 0.214
Cl5 0.744 0.421 0.755
Cl6 0.876 0.260 0.252